1.
Entry from Alexandria: a geometry-optimized KMnGe2Ru structure (PBE).

## Properties
Its formation energy is 13.21 eV/f.u. Its total moment is 0.42 μB per formula unit.

Cell lengths 5.031, 5.031, 4.071 Å; angles 90.00, 90.00, 90.00 degrees
Space group P4/mmm (No. 123)
Symmetry-distinct sites (fractional):
K  0.000  0.000  0.000 x1
Mn  0.000  0.000  0.500 x1
Ge  0.000  0.500  0.000 x2
Ru  0.500  0.500  0.500 x1

---

2.
Entry from Alexandria: a geometry-optimized K2Mn2GeS6 structure (PBE).

## Properties
For the uncorrected formation energy, the calculation gives -0.71 eV/atom. Its total moment is 3.94 μB per formula unit.

Cell lengths 6.079, 10.620, 7.643 Å; angles 90.00, 105.10, 90.00 degrees
Space group C2/m (No. 12)
Symmetry-distinct sites (fractional):
K  0.000  0.163  0.000 x4
Mn  0.000  0.332  0.500 x4
Ge  0.000  0.000  0.500 x2
S  0.205  0.500  0.672 x4
S  0.230  0.174  0.671 x8

---

3.
Entry from Alexandria: a geometry-optimized KScMn2Ge structure (PBE).

## Properties
Its formation energy is 2.97 eV/f.u. Its total moment is 6.24 μB per formula unit.

Cell lengths 4.912, 4.912, 5.285 Å; angles 90.00, 90.00, 90.00 degrees
Space group P4/mmm (No. 123)
Symmetry-distinct sites (fractional):
K  0.000  0.000  0.000 x1
Sc  0.500  0.500  0.000 x1
Mn  0.000  0.500  0.500 x2
Ge  0.500  0.500  0.500 x1

---

4.
Entry from Alexandria: a geometry-optimized KMnGeSe3 structure (PBE).

## Properties
For the uncorrected formation energy, the calculation gives -0.59 eV/atom. Its total moment is 4.00 μB per formula unit.

Cell lengths 8.539, 3.854, 10.386 Å; angles 90.00, 110.53, 90.00 degrees
Space group P2_1/m (No. 11)
Symmetry-distinct sites (fractional):
K  0.221  0.250  0.258 x2
Mn  0.364  0.750  0.847 x2
Ge  0.126  0.250  0.562 x2
Se  0.132  0.250  0.799 x2
Se  0.343  0.750  0.592 x2
Se  0.417  0.750  0.101 x2